No. 1
The following is a PBE-GGA calculation of a geometry-optimized CuAg structure, from the Open Quantum Materials Database.

## Properties
**ΔE_f**: 84 meV/atom

a b c (Å): 6.8176 2.8227 7.9391
angles (deg): 90.00 102.39 90.00
Fractional positions:
Cu 0.0000 0.0000 0.0000
Cu 0.0760 0.5000 0.2826
Cu 0.5173 0.5000 0.5284
Cu 0.6111 0.0000 0.7932
Cu 0.8967 0.5000 0.7247
Ag 0.2026 0.0000 0.5833
Ag 0.2979 0.5000 0.9011
Ag 0.3885 0.0000 0.2290
Ag 0.7009 0.5000 0.0911
Ag 0.7999 0.0000 0.4192


No. 2
The following is a PBE-GGA calculation of a geometry-optimized CuAg structure, from the Open Quantum Materials Database.

## Properties
**ΔE_f**: 89 meV/atom

a b c (Å): 6.1281 3.9212 6.2120
angles (deg): 90.00 90.68 90.00
Fractional positions:
Cu 0.0000 0.0000 0.0000
Cu 0.0855 0.5000 0.7148
Cu 0.1933 0.0000 0.3814
Cu 0.2881 0.5000 0.0857
Cu 0.7038 0.5000 0.8978
Ag 0.3755 0.0000 0.7941
Ag 0.4769 0.5000 0.4911
Ag 0.5932 0.0000 0.1838
Ag 0.8070 0.0000 0.6120
Ag 0.9132 0.5000 0.2919


No. 3
The following is a PBE-GGA calculation of a geometry-optimized CuAg structure, from the Open Quantum Materials Database.

## Properties
**ΔE_f**: 103 meV/atom

a b c (Å): 4.8133 2.8083 11.2252
angles (deg): 90.00 97.58 90.00
Fractional positions:
Cu 0.0000 0.0000 0.0000
Cu 0.1930 0.0000 0.5880
Cu 0.3017 0.5000 0.4142
Cu 0.6983 0.5000 0.5858
Cu 0.8070 0.0000 0.4120
Ag 0.0933 0.5000 0.7903
Ag 0.4047 0.0000 0.2167
Ag 0.5000 0.5000 0.0000
Ag 0.5953 0.0000 0.7833
Ag 0.9067 0.5000 0.2097


No. 4
The following is a PBE-GGA calculation of a geometry-optimized CuAg structure, from the Open Quantum Materials Database.

## Properties
**ΔE_f**: 96 meV/atom

a b c (Å): 6.7553 2.7855 8.0920
angles (deg): 90.00 103.63 90.00
Fractional positions:
Cu 0.0000 0.0000 0.0000
Cu 0.0759 0.5000 0.2914
Cu 0.6289 0.0000 0.8150
Cu 0.8074 0.0000 0.4108
Cu 0.9027 0.5000 0.7177
Ag 0.1826 0.0000 0.5855
Ag 0.3040 0.5000 0.8967
Ag 0.3822 0.0000 0.2157
Ag 0.5253 0.5000 0.5251
Ag 0.7060 0.5000 0.1092


No. 5
The following is a PBE-GGA calculation of a geometry-optimized Cu5Ag3 structure, from the Open Quantum Materials Database.

## Properties
**ΔE_f**: 83 meV/atom

a b c (Å): 4.7216 4.7216 7.6540
angles (deg): 113.01 113.01 47.30
Fractional positions:
Cu 0.0000 0.0000 0.0000
Cu 0.2507 0.2507 0.8926
Cu 0.4935 0.4935 0.2233
Cu 0.5065 0.5065 0.7767
Cu 0.7493 0.7493 0.1074
Ag 0.0000 0.0000 0.5000
Ag 0.2438 0.2438 0.3540
Ag 0.7562 0.7562 0.6460


No. 6
The following is a PBE-GGA calculation of a geometry-optimized Cu3Ag2 structure, from the Open Quantum Materials Database.

## Properties
**ΔE_f**: 111 meV/atom

a b c (Å): 11.1240 11.1240 4.7174
angles (deg): 94.43 94.43 14.28
Fractional positions:
Cu 0.0000 0.0000 0.0000
Cu 0.0958 0.0958 0.6986
Cu 0.1935 0.1935 0.4072
Cu 0.4999 0.4999 0.4997
Cu 0.6914 0.6914 0.8867
Cu 0.9052 0.9052 0.3018
Ag 0.2954 0.2954 0.0999
Ag 0.4029 0.4029 0.8002
Ag 0.5970 0.5970 0.1998
Ag 0.7938 0.7938 0.5981


No. 7
The following is a PBE-GGA calculation of a geometry-optimized Cu3Ag2 structure, from the Open Quantum Materials Database.

## Properties
**ΔE_f**: 87 meV/atom

a b c (Å): 6.7341 2.7910 7.7286
angles (deg): 90.00 100.20 90.00
Fractional positions:
Cu 0.0935 0.0000 0.3093
Cu 0.1799 0.5000 0.5830
Cu 0.3672 0.5000 0.2019
Cu 0.6328 0.5000 0.7981
Cu 0.8201 0.5000 0.4170
Cu 0.9065 0.0000 0.6907
Ag 0.0000 0.5000 0.0000
Ag 0.3171 0.0000 0.8774
Ag 0.5000 0.0000 0.5000
Ag 0.6829 0.0000 0.1226


No. 8
The following is a PBE-GGA calculation of a geometry-optimized CuAg structure, from the Open Quantum Materials Database.

## Properties
**ΔE_f**: 74 meV/atom

a b c (Å): 2.8538 3.4724 15.0664
angles (deg): 90.00 90.00 90.00
Fractional positions:
Cu 0.0000 0.0000 0.0000
Cu 0.0000 0.0000 0.1667
Cu 0.0000 0.0000 0.6011
Cu 0.5000 0.5000 0.0846
Cu 0.5000 0.5000 0.9180
Ag 0.0000 0.0000 0.3849
Ag 0.0000 0.0000 0.8177
Ag 0.5000 0.5000 0.2668
Ag 0.5000 0.5000 0.5028
Ag 0.5000 0.5000 0.6994


Q: Among the records above, which one has the highest ΔE_f?
A: number 6


Q: What is the ΔE_f in the sixth record?
A: 111 meV/atom


Repeat the eighth record exactly.
The following is a PBE-GGA calculation of a geometry-optimized CuAg structure, from the Open Quantum Materials Database.

## Properties
**ΔE_f**: 74 meV/atom

a b c (Å): 2.8538 3.4724 15.0664
angles (deg): 90.00 90.00 90.00
Fractional positions:
Cu 0.0000 0.0000 0.0000
Cu 0.0000 0.0000 0.1667
Cu 0.0000 0.0000 0.6011
Cu 0.5000 0.5000 0.0846
Cu 0.5000 0.5000 0.9180
Ag 0.0000 0.0000 0.3849
Ag 0.0000 0.0000 0.8177
Ag 0.5000 0.5000 0.2668
Ag 0.5000 0.5000 0.5028
Ag 0.5000 0.5000 0.6994


Q: Which of these has the highest ΔE_f?
A: number 6